1.
Entry from OQMD via LeMat-Bulk: a geometry-optimized Sb2Pd2O5 structure (GGA-PBE).

Output
**Energy relative to the lowest polymorph listed for this composition**: 1.19 eV per formula unit

Cell: 4.060 4.060 6.857 Å, 90.00 90.00 90.00°
Space group P4/mmm (No. 123)
Unique sites:
Sb 0.000 0.000 0.000 x1
Sb 0.000 0.000 0.500 x1
Pd 0.500 0.500 0.193 x2
O 0.000 0.500 0.227 x4
O 0.500 0.500 0.500 x1



2.
Entry from OQMD via LeMat-Bulk: a geometry-optimized Pr4CuGe3 structure (GGA-PBE).

Output
**E_tot**: -5.245 eV/atom
**Magnetic moment**: 0.30 μB per formula unit

Cell: 6.058 4.148 8.179 Å, 90.00 91.10 90.00°
Space group Pm (No. 6)
Unique sites:
Pr 0.000 0.000 0.000 x1
Pr 0.244 0.500 0.657 x1
Pr 0.501 0.500 0.153 x1
Pr 0.751 0.000 0.525 x1
Cu 0.736 0.500 0.804 x1
Ge 0.257 0.000 0.370 x1
Ge 0.498 0.000 0.870 x1
Ge 0.988 0.500 0.292 x1



no.,theoretical density (g/cm³)
1,7.881
2,6.830